Entry i
Density functional theory data (PBE) for a geometry-optimized Sr2Be structure.

```
data_Sr2Be
_space_group_name_H-M_alt 'P 4/m m m'
_space_group_IT_number 123
_space_group_name_Hall '-P 4 2'
_cell_length_a 5.413
_cell_length_b 5.413
_cell_length_c 3.740
_cell_angle_alpha 90.00
_cell_angle_beta 90.00
_cell_angle_gamma 90.00
loop_
_atom_site_label
_atom_site_fract_x
_atom_site_fract_y
_atom_site_fract_z
Sr1 0.000 0.500 0.000
Be1 0.000 0.000 0.500
```

Values from the calculation:
Fermi-level density of states: 2.48 states/eV/cell


Entry ii
Density functional theory data (PBE) for a geometry-optimized Sr2Be structure.

```
data_Sr2Be
_space_group_name_H-M_alt 'P n m a'
_space_group_IT_number 62
_space_group_name_Hall '-P 2ac 2n'
_cell_length_a 8.067
_cell_length_b 5.249
_cell_length_c 9.867
_cell_angle_alpha 90.00
_cell_angle_beta 90.00
_cell_angle_gamma 90.00
loop_
_atom_site_label
_atom_site_fract_x
_atom_site_fract_y
_atom_site_fract_z
Sr1 0.024 0.250 0.171
Sr2 0.148 0.250 0.573
Be1 0.250 0.250 0.887
```

Values from the calculation:
Fermi-level density of states: 16.50 states/eV/cell


Entry iii
Density functional theory data (PBE) for a geometry-optimized Sr2Be structure.

```
data_Sr2Be
_space_group_name_H-M_alt 'P -6 2 m'
_space_group_IT_number 189
_space_group_name_Hall 'P -6 -2'
_cell_length_a 8.3944
_cell_length_b 8.3944
_cell_length_c 5.1803
_cell_angle_alpha 90.00
_cell_angle_beta 90.00
_cell_angle_gamma 120.00
loop_
_atom_site_label
_atom_site_fract_x
_atom_site_fract_y
_atom_site_fract_z
Sr1 0.0000 0.2598 0.0000
Sr2 0.0000 0.5937 0.5000
Be1 0.0000 0.0000 0.5000
Be2 0.3333 0.6667 0.0000
```

Values from the calculation:
Fermi-level density of states: 12.64 states/eV/cell


Last place for stability: entry i


Entry i
Density functional theory data (PBE) for a geometry-optimized SrBe2 structure.

```
data_SrBe2
_space_group_name_H-M_alt 'P 6/m m m'
_space_group_IT_number 191
_space_group_name_Hall '-P 6 2'
_cell_length_a 4.0553
_cell_length_b 4.0553
_cell_length_c 4.4449
_cell_angle_alpha 90.00
_cell_angle_beta 90.00
_cell_angle_gamma 120.00
loop_
_atom_site_label
_atom_site_fract_x
_atom_site_fract_y
_atom_site_fract_z
Sr1 0.0000 0.0000 0.0000
Be1 0.3333 0.6667 0.5000
```

Values from the calculation:
Fermi-level density of states: 1.52 states/eV/cell


Entry ii
Density functional theory data (PBE) for a geometry-optimized SrBe2 structure.

```
data_SrBe2
_space_group_name_H-M_alt 'I 4/m m m'
_space_group_IT_number 139
_space_group_name_Hall '-I 4 2'
_cell_length_a 5.864
_cell_length_b 5.864
_cell_length_c 4.136
_cell_angle_alpha 90.00
_cell_angle_beta 90.00
_cell_angle_gamma 90.00
loop_
_atom_site_label
_atom_site_fract_x
_atom_site_fract_y
_atom_site_fract_z
Sr1 0.000 0.000 0.000
Be1 0.000 0.500 0.250
```

Values from the calculation:
Fermi-level density of states: 5.14 states/eV/cell


Last place for stability: entry ii


Entry i
Density functional theory data (PBE) for a geometry-optimized Sr4Be structure.

```
data_Sr4Be
_space_group_name_H-M_alt 'I m -3 m'
_space_group_IT_number 229
_space_group_name_Hall '-I 4 2 3'
_cell_length_a 7.641
_cell_length_b 7.641
_cell_length_c 7.641
_cell_angle_alpha 90.00
_cell_angle_beta 90.00
_cell_angle_gamma 90.00
loop_
_atom_site_label
_atom_site_fract_x
_atom_site_fract_y
_atom_site_fract_z
Sr1 0.250 0.250 0.250
Be1 0.000 0.000 0.000
```

Values from the calculation:
Fermi-level density of states: 8.19 states/eV/cell


Entry ii
Density functional theory data (PBE) for a geometry-optimized Sr4Be structure.

```
data_Sr4Be
_space_group_name_H-M_alt 'P m -3 m'
_space_group_IT_number 221
_space_group_name_Hall '-P 4 2 3'
_cell_length_a 6.173
_cell_length_b 6.173
_cell_length_c 6.173
_cell_angle_alpha 90.00
_cell_angle_beta 90.00
_cell_angle_gamma 90.00
loop_
_atom_site_label
_atom_site_fract_x
_atom_site_fract_y
_atom_site_fract_z
Sr1 0.000 0.000 0.000
Sr2 0.000 0.500 0.500
Be1 0.500 0.500 0.500
```

Values from the calculation:
Fermi-level density of states: 7.25 states/eV/cell


Last place for stability: entry i


Entry i
Density functional theory data (PBE) for a geometry-optimized SrBeTc structure.

```
data_SrBeTc
_space_group_name_H-M_alt 'P 3 m 1'
_space_group_IT_number 156
_space_group_name_Hall 'P 3 -2"'
_cell_length_a 3.9237
_cell_length_b 3.9237
_cell_length_c 4.8512
_cell_angle_alpha 90.00
_cell_angle_beta 90.00
_cell_angle_gamma 120.00
loop_
_atom_site_label
_atom_site_fract_x
_atom_site_fract_y
_atom_site_fract_z
Sr1 0.0000 0.0000 0.0000
Be1 0.3333 0.6667 0.5387
Tc1 0.6667 0.3333 0.4846
```

Values from the calculation:
Fermi-level density of states: 2.23 states/eV/cell


Entry ii
Density functional theory data (PBE) for a geometry-optimized SrBeTc structure.

```
data_SrBeTc
_space_group_name_H-M_alt 'F -4 3 m'
_space_group_IT_number 216
_space_group_name_Hall 'F -4 2 3'
_cell_length_a 6.844
_cell_length_b 6.844
_cell_length_c 6.844
_cell_angle_alpha 90.00
_cell_angle_beta 90.00
_cell_angle_gamma 90.00
loop_
_atom_site_label
_atom_site_fract_x
_atom_site_fract_y
_atom_site_fract_z
Sr1 0.000 0.000 0.000
Be1 0.250 0.250 0.750
Tc1 0.250 0.250 0.250
```

Values from the calculation:
Fermi-level density of states: 5.36 states/eV/cell


Entry iii
Density functional theory data (PBE) for a geometry-optimized SrBeTc structure.

```
data_SrBeTc
_space_group_name_H-M_alt 'I 4 m m'
_space_group_IT_number 107
_space_group_name_Hall 'I 4 -2'
_cell_length_a 3.261
_cell_length_b 3.261
_cell_length_c 10.843
_cell_angle_alpha 90.00
_cell_angle_beta 90.00
_cell_angle_gamma 90.00
loop_
_atom_site_label
_atom_site_fract_x
_atom_site_fract_y
_atom_site_fract_z
Sr1 0.000 0.000 0.000
Be1 0.000 0.000 0.734
Tc1 0.000 0.000 0.279
```

Values from the calculation:
Fermi-level density of states: 7.65 states/eV/cell


Entry iv
Density functional theory data (PBE) for a geometry-optimized SrBeTc structure.

```
data_SrBeTc
_space_group_name_H-M_alt 'F -4 3 m'
_space_group_IT_number 216
_space_group_name_Hall 'F -4 2 3'
_cell_length_a 6.361
_cell_length_b 6.361
_cell_length_c 6.361
_cell_angle_alpha 90.00
_cell_angle_beta 90.00
_cell_angle_gamma 90.00
loop_
_atom_site_label
_atom_site_fract_x
_atom_site_fract_y
_atom_site_fract_z
Sr1 0.000 0.000 0.000
Be1 0.250 0.250 0.250
Tc1 0.000 0.000 0.500
```

Values from the calculation:
Fermi-level density of states: 13.75 states/eV/cell


Last place for stability: entry ii


Entry i
Density functional theory data (PBE) for a geometry-optimized SrBe3Tc structure.

```
data_SrBe3Tc
_space_group_name_H-M_alt 'P m -3 m'
_space_group_IT_number 221
_space_group_name_Hall '-P 4 2 3'
_cell_length_a 4.502
_cell_length_b 4.502
_cell_length_c 4.502
_cell_angle_alpha 90.00
_cell_angle_beta 90.00
_cell_angle_gamma 90.00
loop_
_atom_site_label
_atom_site_fract_x
_atom_site_fract_y
_atom_site_fract_z
Sr1 0.000 0.000 0.000
Be1 0.000 0.000 0.500
Tc1 0.500 0.500 0.500
```

Values from the calculation:
Fermi-level density of states: 11.94 states/eV/cell


Entry ii
Density functional theory data (PBE) for a geometry-optimized SrBe3Tc structure.

```
data_SrBe3Tc
_space_group_name_H-M_alt 'P m -3 m'
_space_group_IT_number 221
_space_group_name_Hall '-P 4 2 3'
_cell_length_a 4.440
_cell_length_b 4.440
_cell_length_c 4.440
_cell_angle_alpha 90.00
_cell_angle_beta 90.00
_cell_angle_gamma 90.00
loop_
_atom_site_label
_atom_site_fract_x
_atom_site_fract_y
_atom_site_fract_z
Sr1 0.000 0.000 0.000
Be1 0.000 0.500 0.500
Tc1 0.500 0.500 0.500
```

Values from the calculation:
Fermi-level density of states: 2.27 states/eV/cell


Last place for stability: entry i


Entry i
Density functional theory data (PBE) for a geometry-optimized SrBeTe structure.

```
data_SrBeTe
_space_group_name_H-M_alt 'F -4 3 m'
_space_group_IT_number 216
_space_group_name_Hall 'F -4 2 3'
_cell_length_a 7.617
_cell_length_b 7.617
_cell_length_c 7.617
_cell_angle_alpha 90.00
_cell_angle_beta 90.00
_cell_angle_gamma 90.00
loop_
_atom_site_label
_atom_site_fract_x
_atom_site_fract_y
_atom_site_fract_z
Sr1 0.000 0.000 0.000
Be1 0.000 0.000 0.500
Te1 0.250 0.250 0.250
```

Values from the calculation:
Fermi-level density of states: 10.00 states/eV/cell


Entry ii
Density functional theory data (PBE) for a geometry-optimized SrBeTe structure.

```
data_SrBeTe
_space_group_name_H-M_alt 'P -1'
_space_group_IT_number 2
_space_group_name_Hall '-P 1'
_cell_length_a 4.094
_cell_length_b 6.408
_cell_length_c 6.808
_cell_angle_alpha 91.57
_cell_angle_beta 90.21
_cell_angle_gamma 108.62
loop_
_atom_site_label
_atom_site_fract_x
_atom_site_fract_y
_atom_site_fract_z
Sr1 0.139 0.281 0.272
Be1 0.440 0.881 0.392
Te1 0.139 0.275 0.772
```

Values from the calculation:
Fermi-level density of states: 1.29 states/eV/cell


Last place for stability: entry i


Entry i
Density functional theory data (PBE) for a geometry-optimized SrBeTe structure.

```
data_SrBeTe
_space_group_name_H-M_alt 'A m m 2'
_space_group_IT_number 38
_space_group_name_Hall 'A 2 -2'
_cell_length_a 4.416
_cell_length_b 4.382
_cell_length_c 17.159
_cell_angle_alpha 90.00
_cell_angle_beta 90.00
_cell_angle_gamma 90.00
loop_
_atom_site_label
_atom_site_fract_x
_atom_site_fract_y
_atom_site_fract_z
Sr1 0.000 0.000 0.000
Sr2 0.500 0.000 0.236
Be1 0.500 0.000 0.432
Be2 0.500 0.000 0.882
Te1 0.000 0.000 0.798
Te2 0.500 0.000 0.581
```

Values from the calculation:
Fermi-level density of states: 3.18 states/eV/cell


Entry ii
Density functional theory data (PBE) for a geometry-optimized SrBeTe structure.

```
data_SrBeTe
_space_group_name_H-M_alt 'P 3 m 1'
_space_group_IT_number 156
_space_group_name_Hall 'P 3 -2"'
_cell_length_a 4.1005
_cell_length_b 4.1005
_cell_length_c 5.5192
_cell_angle_alpha 90.00
_cell_angle_beta 90.00
_cell_angle_gamma 120.00
loop_
_atom_site_label
_atom_site_fract_x
_atom_site_fract_y
_atom_site_fract_z
Sr1 0.0000 0.0000 0.0000
Be1 0.3333 0.6667 0.6413
Te1 0.6667 0.3333 0.4718
```

Values from the calculation:
Fermi-level density of states: 0.29 states/eV/cell


Entry iii
Density functional theory data (PBE) for a geometry-optimized SrBeTe structure.

```
data_SrBeTe
_space_group_name_H-M_alt 'C m c m'
_space_group_IT_number 63
_space_group_name_Hall '-C 2c 2'
_cell_length_a 4.586
_cell_length_b 17.264
_cell_length_c 4.362
_cell_angle_alpha 90.00
_cell_angle_beta 90.00
_cell_angle_gamma 90.00
loop_
_atom_site_label
_atom_site_fract_x
_atom_site_fract_y
_atom_site_fract_z
Sr1 0.000 0.119 0.250
Be1 0.000 0.469 0.250
Te1 0.000 0.330 0.250
```

Values from the calculation:
Fermi-level density of states: 2.94 states/eV/cell


Last place for stability: entry ii


Entry i
Density functional theory data (PBE) for a geometry-optimized SrBeTe structure.

```
data_SrBeTe
_space_group_name_H-M_alt 'P n m a'
_space_group_IT_number 62
_space_group_name_Hall '-P 2ac 2n'
_cell_length_a 12.266
_cell_length_b 4.042
_cell_length_c 6.586
_cell_angle_alpha 90.00
_cell_angle_beta 90.00
_cell_angle_gamma 90.00
loop_
_atom_site_label
_atom_site_fract_x
_atom_site_fract_y
_atom_site_fract_z
Sr1 0.074 0.250 0.212
Be1 0.171 0.750 0.916
Te1 0.177 0.250 0.690
```

Values from the calculation:
Fermi-level density of states: 1.30 states/eV/cell


Entry ii
Density functional theory data (PBE) for a geometry-optimized SrBeTe structure.

```
data_SrBeTe
_space_group_name_H-M_alt 'I 4 m m'
_space_group_IT_number 107
_space_group_name_Hall 'I 4 -2'
_cell_length_a 3.740
_cell_length_b 3.740
_cell_length_c 11.113
_cell_angle_alpha 90.00
_cell_angle_beta 90.00
_cell_angle_gamma 90.00
loop_
_atom_site_label
_atom_site_fract_x
_atom_site_fract_y
_atom_site_fract_z
Sr1 0.000 0.000 0.000
Be1 0.000 0.000 0.299
Te1 0.000 0.000 0.709
```

Values from the calculation:
Fermi-level density of states: 2.36 states/eV/cell


Entry iii
Density functional theory data (PBE) for a geometry-optimized SrBeTe structure.

```
data_SrBeTe
_space_group_name_H-M_alt 'P 1'
_space_group_IT_number 1
_space_group_name_Hall 'P 1'
_cell_length_a 4.414
_cell_length_b 4.580
_cell_length_c 9.666
_cell_angle_alpha 86.95
_cell_angle_beta 83.75
_cell_angle_gamma 61.70
loop_
_atom_site_label
_atom_site_fract_x
_atom_site_fract_y
_atom_site_fract_z
Sr1 0.000 0.000 0.000
Sr2 0.435 0.324 0.578
Be1 0.216 0.446 0.212
Be2 0.670 0.533 0.214
Te1 0.149 0.992 0.353
Te2 0.716 0.670 0.778
```

Values from the calculation:
Fermi-level density of states: 0.20 states/eV/cell


Entry iv
Density functional theory data (PBE) for a geometry-optimized SrBeTe structure.

```
data_SrBeTe
_space_group_name_H-M_alt 'C 1 m 1'
_space_group_IT_number 8
_space_group_name_Hall 'C -2y'
_cell_length_a 11.881
_cell_length_b 4.440
_cell_length_c 6.787
_cell_angle_alpha 90.00
_cell_angle_beta 108.08
_cell_angle_gamma 90.00
loop_
_atom_site_label
_atom_site_fract_x
_atom_site_fract_y
_atom_site_fract_z
Sr1 0.000 0.000 0.000
Sr2 0.149 0.500 0.538
Be1 0.407 0.249 0.332
Te1 0.225 0.500 0.085
Te2 0.365 0.000 0.639
```


Last place for stability: entry ii


Entry i
Density functional theory data (PBE) for a geometry-optimized SrBeTe structure.

```
data_SrBeTe
_space_group_name_H-M_alt 'F m m 2'
_space_group_IT_number 42
_space_group_name_Hall 'F 2 -2'
_cell_length_a 4.913
_cell_length_b 5.719
_cell_length_c 11.189
_cell_angle_alpha 90.00
_cell_angle_beta 90.00
_cell_angle_gamma 90.00
loop_
_atom_site_label
_atom_site_fract_x
_atom_site_fract_y
_atom_site_fract_z
Sr1 0.000 0.000 0.000
Be1 0.000 0.000 0.698
Te1 0.000 0.000 0.291
```

Values from the calculation:
Fermi-level density of states: 3.84 states/eV/cell


Entry ii
Density functional theory data (PBE) for a geometry-optimized SrBeTe structure.

```
data_SrBeTe
_space_group_name_H-M_alt 'I m m m'
_space_group_IT_number 71
_space_group_name_Hall '-I 2 2'
_cell_length_a 4.749
_cell_length_b 4.868
_cell_length_c 14.875
_cell_angle_alpha 90.00
_cell_angle_beta 90.00
_cell_angle_gamma 90.00
loop_
_atom_site_label
_atom_site_fract_x
_atom_site_fract_y
_atom_site_fract_z
Sr1 0.000 0.000 0.131
Be1 0.212 0.500 0.000
Te1 0.000 0.000 0.359
```

Values from the calculation:
Fermi-level density of states: 3.39 states/eV/cell


Last place for stability: entry i


Entry i
Density functional theory data (PBE) for a geometry-optimized SrBeTe structure.

```
data_SrBeTe
_space_group_name_H-M_alt 'F -4 3 m'
_space_group_IT_number 216
_space_group_name_Hall 'F -4 2 3'
_cell_length_a 7.498
_cell_length_b 7.498
_cell_length_c 7.498
_cell_angle_alpha 90.00
_cell_angle_beta 90.00
_cell_angle_gamma 90.00
loop_
_atom_site_label
_atom_site_fract_x
_atom_site_fract_y
_atom_site_fract_z
Sr1 0.000 0.000 0.000
Be1 0.250 0.250 0.750
Te1 0.250 0.250 0.250
```


Entry ii
Density functional theory data (PBE) for a geometry-optimized SrBeTe structure.

```
data_SrBeTe
_space_group_name_H-M_alt 'F -4 3 m'
_space_group_IT_number 216
_space_group_name_Hall 'F -4 2 3'
_cell_length_a 6.996
_cell_length_b 6.996
_cell_length_c 6.996
_cell_angle_alpha 90.00
_cell_angle_beta 90.00
_cell_angle_gamma 90.00
loop_
_atom_site_label
_atom_site_fract_x
_atom_site_fract_y
_atom_site_fract_z
Sr1 0.000 0.000 0.000
Be1 0.250 0.250 0.250
Te1 0.000 0.000 0.500
```

Values from the calculation:
Fermi-level density of states: 9.92 states/eV/cell


Last place for stability: entry i